Arrangement w

# K3Mn2Br7 PBE-GGA relaxed
data_K3Mn2Br7
_space_group_name_H-M_alt 'P 1'
_space_group_IT_number 1
_cell_length_a 14.0338
_cell_length_b 14.0338
_cell_length_c 14.0338
_cell_angle_alpha 157.93
_cell_angle_beta 157.93
_cell_angle_gamma 31.41
loop_
_space_group_symop_operation_xyz
'x,y,z'
loop_
_atom_site_label
_atom_site_type_symbol
_atom_site_fract_x
_atom_site_fract_y
_atom_site_fract_z
_atom_site_occupancy
K1 K 0.0000 0.0000 0.0000 1
K2 K 0.1796 0.1796 0.0000 1
K3 K 0.8204 0.8204 0.0000 1
Mn1 Mn 0.3983 0.3983 0.0000 1
Mn2 Mn 0.6017 0.6017 0.0000 1
Br1 Br 0.0968 0.5968 0.5000 1
Br2 Br 0.3018 0.3018 0.0000 1
Br3 Br 0.4032 0.9032 0.5000 1
Br4 Br 0.5000 0.5000 0.0000 1
Br5 Br 0.5968 0.0968 0.5000 1
Br6 Br 0.6982 0.6982 0.0000 1
Br7 Br 0.9032 0.4032 0.5000 1
# volume	32.5	Å³/atom
# space group	I4/mmm

***

Arrangement x

# K3Mn2Br7 PBE-GGA relaxed
data_K3Mn2Br7
_space_group_name_H-M_alt 'P 1'
_space_group_IT_number 1
_cell_length_a 14.0889
_cell_length_b 14.0889
_cell_length_c 5.3021
_cell_angle_alpha 90.00
_cell_angle_beta 90.00
_cell_angle_gamma 157.85
loop_
_space_group_symop_operation_xyz
'x,y,z'
loop_
_atom_site_label
_atom_site_type_symbol
_atom_site_fract_x
_atom_site_fract_y
_atom_site_fract_z
_atom_site_occupancy
K1 K 0.0000 0.0000 0.0000 1
K2 K 0.1736 0.8264 0.0000 1
K3 K 0.8264 0.1736 0.0000 1
Mn1 Mn 0.3995 0.6005 0.5000 1
Mn2 Mn 0.6005 0.3995 0.5000 1
Br1 Br 0.0941 0.9059 0.5000 1
Br2 Br 0.3059 0.6941 0.5000 1
Br3 Br 0.4051 0.5949 0.0000 1
Br4 Br 0.5000 0.5000 0.5000 1
Br5 Br 0.5949 0.4051 0.0000 1
Br6 Br 0.6941 0.3059 0.5000 1
Br7 Br 0.9059 0.0941 0.5000 1
# volume	33.1	Å³/atom
# space group	Cmmm

***

Q: Which of them is the least stable? A: arrangement x.

***

Arrangement w

# KRb2MnBr6 PBE-GGA relaxed
data_KRb2MnBr6
_space_group_name_H-M_alt 'P 1'
_space_group_IT_number 1
_cell_length_a 8.0415
_cell_length_b 8.0415
_cell_length_c 8.0415
_cell_angle_alpha 60.00
_cell_angle_beta 60.00
_cell_angle_gamma 60.00
loop_
_space_group_symop_operation_xyz
'x,y,z'
loop_
_atom_site_label
_atom_site_type_symbol
_atom_site_fract_x
_atom_site_fract_y
_atom_site_fract_z
_atom_site_occupancy
K1 K 0.0000 0.0000 0.0000 1
Rb1 Rb 0.2500 0.2500 0.2500 1
Rb2 Rb 0.7500 0.7500 0.7500 1
Mn1 Mn 0.5000 0.5000 0.5000 1
Br1 Br 0.2752 0.2752 0.7248 1
Br2 Br 0.2752 0.7248 0.2752 1
Br3 Br 0.2752 0.7248 0.7248 1
Br4 Br 0.7248 0.2752 0.2752 1
Br5 Br 0.7248 0.2752 0.7248 1
Br6 Br 0.7248 0.7248 0.2752 1
# volume	36.8	Å³/atom
# space group	Fm-3m

***

Arrangement x

# KRb2MnBr6 PBE-GGA relaxed
data_KRb2MnBr6
_space_group_name_H-M_alt 'P 1'
_space_group_IT_number 1
_cell_length_a 7.7783
_cell_length_b 8.4505
_cell_length_c 13.5662
_cell_angle_alpha 90.00
_cell_angle_beta 124.69
_cell_angle_gamma 90.00
loop_
_space_group_symop_operation_xyz
'x,y,z'
loop_
_atom_site_label
_atom_site_type_symbol
_atom_site_fract_x
_atom_site_fract_y
_atom_site_fract_z
_atom_site_occupancy
K1 K 0.0000 0.0000 0.0000 1
K2 K 0.0000 0.5000 0.5000 1
Rb1 Rb 0.2868 0.0779 0.7588 1
Rb2 Rb 0.2868 0.4221 0.2588 1
Rb3 Rb 0.7132 0.5779 0.7412 1
Rb4 Rb 0.7132 0.9221 0.2412 1
Mn1 Mn 0.5000 0.0000 0.5000 1
Mn2 Mn 0.5000 0.5000 0.0000 1
Br1 Br 0.2003 0.0204 0.2871 1
Br2 Br 0.2003 0.4796 0.7871 1
Br3 Br 0.2769 0.6580 0.0408 1
Br4 Br 0.2769 0.8420 0.5408 1
Br5 Br 0.3734 0.2183 0.0515 1
Br6 Br 0.3734 0.2817 0.5515 1
Br7 Br 0.6266 0.7183 0.4485 1
Br8 Br 0.6266 0.7817 0.9485 1
Br9 Br 0.7231 0.1580 0.4592 1
Br10 Br 0.7231 0.3420 0.9592 1
Br11 Br 0.7997 0.5204 0.2129 1
Br12 Br 0.7997 0.9796 0.7129 1
# volume	36.7	Å³/atom
# space group	P2_1/c

***

Q: Which of them is the least stable? A: arrangement w.

***

Arrangement w

# KMnSeBr2 PBE-GGA relaxed
data_KMnSeBr2
_space_group_name_H-M_alt 'P 1'
_space_group_IT_number 1
_cell_length_a 5.7990
_cell_length_b 5.7990
_cell_length_c 5.8623
_cell_angle_alpha 90.00
_cell_angle_beta 90.00
_cell_angle_gamma 90.00
loop_
_space_group_symop_operation_xyz
'x,y,z'
loop_
_atom_site_label
_atom_site_type_symbol
_atom_site_fract_x
_atom_site_fract_y
_atom_site_fract_z
_atom_site_occupancy
K1 K 0.0000 0.0000 0.0000 1
Mn1 Mn 0.5000 0.5000 0.5000 1
Se1 Se 0.0000 0.0000 0.5000 1
Br1 Br 0.0000 0.5000 0.0000 1
Br2 Br 0.5000 0.0000 0.0000 1
# volume	39.4	Å³/atom
# space group	P4/mmm

***

Arrangement x

# KMnSeBr2 PBE-GGA relaxed
data_KMnSeBr2
_space_group_name_H-M_alt 'P 1'
_space_group_IT_number 1
_cell_length_a 5.4044
_cell_length_b 5.4044
_cell_length_c 4.8805
_cell_angle_alpha 90.00
_cell_angle_beta 90.00
_cell_angle_gamma 90.00
loop_
_space_group_symop_operation_xyz
'x,y,z'
loop_
_atom_site_label
_atom_site_type_symbol
_atom_site_fract_x
_atom_site_fract_y
_atom_site_fract_z
_atom_site_occupancy
K1 K 0.0000 0.0000 0.0000 1
Mn1 Mn 0.5000 0.5000 0.5000 1
Se1 Se 0.5000 0.5000 0.0000 1
Br1 Br 0.0000 0.5000 0.5000 1
Br2 Br 0.5000 0.0000 0.5000 1
# volume	28.5	Å³/atom
# space group	P4/mmm

***

Q: Which of them is the least stable? A: arrangement w.

***

Arrangement w

# K2MoBr2 PBE-GGA relaxed
data_K2MoBr2
_space_group_name_H-M_alt 'P 1'
_space_group_IT_number 1
_cell_length_a 8.9330
_cell_length_b 8.9330
_cell_length_c 4.1430
_cell_angle_alpha 90.00
_cell_angle_beta 90.00
_cell_angle_gamma 90.00
loop_
_space_group_symop_operation_xyz
'x,y,z'
loop_
_atom_site_label
_atom_site_type_symbol
_atom_site_fract_x
_atom_site_fract_y
_atom_site_fract_z
_atom_site_occupancy
K1 K 0.1485 0.3515 0.0000 1
K2 K 0.3515 0.8515 0.0000 1
K3 K 0.6485 0.1485 0.0000 1
K4 K 0.8515 0.6485 0.0000 1
Mo1 Mo 0.0000 0.0000 0.5000 1
Mo2 Mo 0.5000 0.5000 0.5000 1
Br1 Br 0.1566 0.6566 0.5000 1
Br2 Br 0.3434 0.1566 0.5000 1
Br3 Br 0.6566 0.8434 0.5000 1
Br4 Br 0.8434 0.3434 0.5000 1
# volume	33.1	Å³/atom
# space group	P4/mbm

***

Arrangement x

# K2MoBr2 PBE-GGA relaxed
data_K2MoBr2
_space_group_name_H-M_alt 'P 1'
_space_group_IT_number 1
_cell_length_a 6.6777
_cell_length_b 6.6777
_cell_length_c 6.6777
_cell_angle_alpha 119.93
_cell_angle_beta 119.93
_cell_angle_gamma 90.11
loop_
_space_group_symop_operation_xyz
'x,y,z'
loop_
_atom_site_label
_atom_site_type_symbol
_atom_site_fract_x
_atom_site_fract_y
_atom_site_fract_z
_atom_site_occupancy
K1 K 0.2500 0.7500 0.5000 1
K2 K 0.7500 0.2500 0.5000 1
Mo1 Mo 0.0000 0.0000 0.0000 1
Br1 Br 0.2723 0.2723 0.0000 1
Br2 Br 0.7277 0.7277 0.0000 1
# volume	42.2	Å³/atom
# space group	I4/mmm

***

Q: Which of them is the least stable? A: arrangement w.